(1)
This record from Alexandria via LeMat-Bulk describes a geometry-optimized CrAsCl2 structure. The functional is PBEsol.

Cell: 2.9597 4.8693 6.7189 Å, 111.25 102.72 90.00°
Last column: magnetic moment on the atom in μB.
Atoms (fractional coordinates):
As (0.0000, 0.5000, 0.0000)  -0.16
Cl (0.8506, 0.8506, 0.7012)  -0.05
Cl (0.1494, 0.1494, 0.2988)  -0.05
Cr (0.5000, 0.0000, 0.0000)  2.90

- Symmetry: Immm, No. 71
- Relative energy among the computed polymorphs: 0 meV per atom
- E_form (uncorrected): -3.984 kcal/mol of atoms
- Total magnetization: 2.73 μB/f.u.



(2)
This record from Alexandria via LeMat-Bulk describes a geometry-optimized Cr3AsCl structure. The functional is PBEsol.

Cell: 4.8695 4.8695 4.8695 Å, 90.00 90.00 90.00°
Last column: magnetic moment on the atom in μB.
Atoms (fractional coordinates):
Cr (0.0000, 0.5000, 0.0000)  3.99
Cr (0.5000, 0.0000, 0.0000)  3.99
Cl (0.5000, 0.5000, 0.5000)  0.16
Cr (0.0000, 0.0000, 0.5000)  3.99
As (0.0000, 0.0000, 0.0000)  -0.11

- Symmetry: Pm-3m, No. 221
- E_form (uncorrected): 19.056 kcal/mol of atoms
- Total magnetization: 13.90 μB/f.u.



(3)
This record from Alexandria via LeMat-Bulk describes a geometry-optimized Cr2AsCl structure. The functional is PBEsol.

Cell: 3.1772 3.1772 6.5847 Å, 90.00 90.00 90.00°
Last column: magnetic moment on the atom in μB.
Atoms (fractional coordinates):
As (0.5000, 0.5000, 0.0000)  -0.21
Cr (0.0000, 0.0000, 0.2160)  3.55
Cr (0.0000, 0.0000, 0.7840)  3.55
Cl (0.5000, 0.5000, 0.5000)  0.01

- Symmetry: P4/mmm, No. 123
- Relative energy among the computed polymorphs: 0 meV per atom
- E_form (uncorrected): 5.448 kcal/mol of atoms
- Total magnetization: 7.57 μB/f.u.



(4)
This record from Alexandria via LeMat-Bulk describes a geometry-optimized CrAsCl structure. The functional is PBEsol.

Cell: 2.8401 2.8401 6.6089 Å, 102.41 102.41 90.00°
Atoms (fractional coordinates):
As (0.9564, 0.9564, 0.9129)
Cr (0.3258, 0.3258, 0.6517)
Cl (0.7177, 0.7177, 0.4354)

- Symmetry: I4mm, No. 107
- E_form (uncorrected): -0.999 kcal/mol of atoms
- Total magnetization: 0.00 μB/f.u.



(5)
This record from Alexandria via LeMat-Bulk describes a geometry-optimized CrAsCl2 structure. The functional is PBEsol.

Cell: 4.3123 4.3105 5.0889 Å, 113.51 113.53 93.32°
Last column: magnetic moment on the atom in μB.
Atoms (fractional coordinates):
Cr (0.5000, 0.0000, 0.0000)  3.75
Cl (0.0000, 0.0000, 0.5000)  -0.01
Cl (0.5000, 0.5000, 0.5000)  -0.01
As (0.0000, 0.5000, 0.0000)  -0.16

- Symmetry: Fmmm, No. 69
- Relative energy among the computed polymorphs: 222 meV per atom
- E_form (uncorrected): 1.144 kcal/mol of atoms
- Total magnetization: 3.87 μB/f.u.



(6)
This record from Alexandria via LeMat-Bulk describes a geometry-optimized CrAsCl2 structure. The functional is PBEsol.

Cell: 3.2016 3.2009 10.5312 Å, 90.00 90.00 120.01°
Last column: magnetic moment on the atom in μB.
Atoms (fractional coordinates):
Cr (0.5000, 0.0000, 0.5000)  3.52
As (0.5000, 0.0000, 0.0000)  0.00
Cl (0.0000, 0.0000, 0.6569)  0.02
Cl (0.0000, 0.0000, 0.3431)  0.02

- Symmetry: Cmmm, No. 65
- Relative energy among the computed polymorphs: 77 meV per atom
- E_form (uncorrected): -2.217 kcal/mol of atoms
- Total magnetization: 3.96 μB/f.u.



(7)
This record from Alexandria via LeMat-Bulk describes a geometry-optimized CrAsP2Cl structure. The functional is PBEsol.

Cell: 4.7130 4.7130 4.7322 Å, 90.00 90.00 90.00°
Last column: magnetic moment on the atom in μB.
Atoms (fractional coordinates):
Cl (0.0000, 0.0000, 0.5000)  -0.04
P (0.5000, 0.0000, 0.0000)  -0.22
P (0.0000, 0.5000, 0.0000)  -0.22
As (0.0000, 0.0000, 0.0000)  0.00
Cr (0.5000, 0.5000, 0.5000)  3.98

- Symmetry: P4/mmm, No. 123
- E_form (uncorrected): 21.302 kcal/mol of atoms
- Total magnetization: 3.53 μB/f.u.



(8)
This record from Alexandria via LeMat-Bulk describes a geometry-optimized Cs3AsCl6 structure. The functional is PBEsol.

Cell: 7.9850 7.9850 7.9850 Å, 60.00 60.00 60.00°
Atoms (fractional coordinates):
Cs (0.5000, 0.5000, 0.5000)
Cl (0.7805, 0.2195, 0.2195)
As (0.0000, 0.0000, 0.0000)
Cl (0.7805, 0.2195, 0.7805)
Cl (0.2195, 0.7805, 0.7805)
Cs (0.7500, 0.7500, 0.7500)
Cl (0.2195, 0.2195, 0.7805)
Cs (0.2500, 0.2500, 0.2500)
Cl (0.2195, 0.7805, 0.2195)
Cl (0.7805, 0.7805, 0.2195)

- Symmetry: Fm-3m, No. 225
- E_form (uncorrected): -33.687 kcal/mol of atoms
- Total magnetization: 0.00 μB/f.u.



(9)
This record from Alexandria via LeMat-Bulk describes a geometry-optimized Cs3As2Cl9 structure. The functional is PBEsol.

Cell: 7.3236 7.3236 8.9141 Å, 90.00 90.00 120.00°
Atoms (fractional coordinates):
As (0.3333, 0.6667, 0.8183)
Cs (0.6667, 0.3333, 0.6736)
Cl (0.1791, 0.8211, 0.6736)
Cl (0.8211, 0.1791, 0.3264)
Cs (0.0000, 0.0000, 0.0000)
Cl (0.6421, 0.8209, 0.6736)
Cl (0.4999, 0.4999, 0.0000)
Cl (0.5001, 0.0000, 0.0000)
Cs (0.3333, 0.6667, 0.3264)
Cl (0.3579, 0.1789, 0.3264)
Cl (0.1789, 0.3579, 0.6736)
Cl (0.8209, 0.6421, 0.3264)
As (0.6667, 0.3333, 0.1817)
Cl (0.0000, 0.5001, 0.0000)

- Symmetry: P-3m1, No. 164
- E_form (uncorrected): -30.721 kcal/mol of atoms
- Total magnetization: 0.00 μB/f.u.



(10)
This record from Alexandria via LeMat-Bulk describes a geometry-optimized Cs2CuAsCl6 structure. The functional is PBEsol.

Cell: 7.0732 7.0732 7.0732 Å, 60.00 60.00 60.00°
Atoms (fractional coordinates):
Cl (0.7474, 0.2526, 0.2526)
Cl (0.2526, 0.7474, 0.7474)
Cl (0.7474, 0.2526, 0.7474)
Cu (0.5000, 0.5000, 0.5000)
Cs (0.2500, 0.2500, 0.2500)
Cs (0.7500, 0.7500, 0.7500)
Cl (0.2526, 0.2526, 0.7474)
Cl (0.2526, 0.7474, 0.2526)
As (0.0000, 0.0000, 0.0000)
Cl (0.7474, 0.7474, 0.2526)

- Symmetry: Fm-3m, No. 225
- E_form (uncorrected): -27.451 kcal/mol of atoms
- Total magnetization: 0.00 μB/f.u.



(11)
This record from Alexandria via LeMat-Bulk describes a geometry-optimized Cs2HgAsCl6 structure. The functional is PBEsol.

Cell: 7.4513 7.4513 7.4513 Å, 60.00 60.00 60.00°
Atoms (fractional coordinates):
Cl (0.2356, 0.7644, 0.7644)
Cl (0.7644, 0.2356, 0.7644)
Cl (0.2356, 0.7644, 0.2356)
As (0.0000, 0.0000, 0.0000)
Cs (0.2500, 0.2500, 0.2500)
Cl (0.2356, 0.2356, 0.7644)
Cl (0.7644, 0.2356, 0.2356)
Hg (0.5000, 0.5000, 0.5000)
Cs (0.7500, 0.7500, 0.7500)
Cl (0.7644, 0.7644, 0.2356)

- Symmetry: Fm-3m, No. 225
- E_form (uncorrected): -27.152 kcal/mol of atoms
- Total magnetization: 0.00 μB/f.u.



(12)
This record from Alexandria via LeMat-Bulk describes a geometry-optimized Cs2RbAsCl6 structure. The functional is PBEsol.

Cell: 7.7995 7.7995 7.7995 Å, 60.00 60.00 60.00°
Atoms (fractional coordinates):
Cl (0.2246, 0.7754, 0.7754)
Cl (0.2246, 0.7754, 0.2246)
Cl (0.7754, 0.7754, 0.2246)
Rb (0.5000, 0.5000, 0.5000)
Cl (0.2246, 0.2246, 0.7754)
Cl (0.7754, 0.2246, 0.7754)
Cs (0.7500, 0.7500, 0.7500)
Cl (0.7754, 0.2246, 0.2246)
As (0.0000, 0.0000, 0.0000)
Cs (0.2500, 0.2500, 0.2500)

- Symmetry: Fm-3m, No. 225
- E_form (uncorrected): -34.013 kcal/mol of atoms
- Total magnetization: 0.00 μB/f.u.



(13)
This record from Alexandria via LeMat-Bulk describes a geometry-optimized Cu4AsClO6 structure. The functional is PBEsol.

Cell: 5.3948 10.1541 11.1813 Å, 90.00 90.00 90.00°
Last column: magnetic moment on the atom in μB.
Atoms (fractional coordinates):
Cu (0.7651, 0.9563, 0.4458)  0.03
Cu (0.2349, 0.9563, 0.9458)  0.03
O (0.4901, 0.4578, 0.3747)  0.00
Cu (0.2349, 0.5437, 0.9458)  0.03
Cu (0.8512, 0.7500, 0.9133)  0.30
O (0.9542, 0.1186, 0.4712)  0.04
O (0.5099, 0.4578, 0.8747)  0.00
O (0.1218, 0.6297, 0.2760)  0.02
O (0.1218, 0.1297, 0.2240)  0.02
O (0.5099, 0.0422, 0.8747)  0.00
Cu (0.7651, 0.4563, 0.0542)  0.03
Cl (0.6136, 0.2500, 0.0932)  0.01
Cl (0.3864, 0.2500, 0.5932)  0.01
O (0.9542, 0.3814, 0.4712)  0.04
O (0.9542, 0.8814, 0.0288)  0.04
Cl (0.6136, 0.7500, 0.4068)  0.01
O (0.8782, 0.3703, 0.7240)  0.02
Cu (0.7651, 0.5437, 0.4458)  0.03
As (0.3259, 0.0000, 0.2500)  0.00
O (0.9542, 0.6186, 0.0288)  0.04
Cu (0.9641, 0.2500, 0.8545)  -0.15
Cu (0.1488, 0.2500, 0.0867)  0.30
Cu (0.0359, 0.7500, 0.1455)  -0.15
Cu (0.8512, 0.2500, 0.5867)  0.30
O (0.0458, 0.1186, 0.9712)  0.04
Cu (0.9641, 0.7500, 0.6455)  -0.15
O (0.5099, 0.5422, 0.6253)  0.00
Cu (0.7651, 0.0437, 0.0542)  0.03
Cu (0.2349, 0.4563, 0.5542)  0.03
Cu (0.0359, 0.2500, 0.3545)  -0.15
O (0.5099, 0.9578, 0.6253)  0.00
O (0.4901, 0.9578, 0.1253)  0.00
O (0.1218, 0.8703, 0.2760)  0.02
Cu (0.1488, 0.7500, 0.4133)  0.30
As (0.6741, 0.5000, 0.7500)  0.00
O (0.0458, 0.8814, 0.5288)  0.04
O (0.8782, 0.8703, 0.7760)  0.02
As (0.3259, 0.5000, 0.2500)  0.00
As (0.6741, 0.0000, 0.7500)  0.00
O (0.4901, 0.5422, 0.1253)  0.00
O (0.1218, 0.3703, 0.2240)  0.02
O (0.4901, 0.0422, 0.3747)  0.00
Cu (0.2349, 0.0437, 0.5542)  0.03
O (0.8782, 0.6297, 0.7760)  0.02
Cl (0.3864, 0.7500, 0.9068)  0.01
O (0.0458, 0.6186, 0.5288)  0.04
O (0.8782, 0.1297, 0.7240)  0.02
O (0.0458, 0.3814, 0.9712)  0.04

- Symmetry: Pbcm, No. 57
- E_form (uncorrected): -16.771 kcal/mol of atoms
- Total magnetization: 0.34 μB/f.u.



(14)
This record from Alexandria via LeMat-Bulk describes a geometry-optimized Cu2AsClO4 structure. The functional is PBEsol.

Cell: 4.8693 6.6778 6.6357 Å, 90.00 91.82 90.00°
Last column: magnetic moment on the atom in μB.
Atoms (fractional coordinates):
As (0.4971, 0.2500, 0.2417)  0.01
O (0.7478, 0.2500, 0.0537)  0.17
O (0.6876, 0.2500, 0.4562)  0.11
Cl (0.1772, 0.2500, 0.7562)  0.13
Cu (0.6498, 0.2500, 0.7413)  0.61
O (0.7166, 0.5445, 0.7904)  0.14
O (0.2834, 0.0445, 0.2096)  0.14
O (0.2834, 0.4555, 0.2096)  0.14
Cu (0.0000, 0.0000, 0.0000)  0.60
O (0.2522, 0.7500, 0.9463)  0.17
Cl (0.8228, 0.7500, 0.2438)  0.13
Cu (0.3502, 0.7500, 0.2587)  0.61
Cu (0.0000, 0.5000, 0.0000)  0.60
O (0.3124, 0.7500, 0.5438)  0.11
O (0.7166, 0.9555, 0.7904)  0.14
As (0.5029, 0.7500, 0.7583)  0.01

- Symmetry: P2_1/m, No. 11
- E_form (uncorrected): -17.424 kcal/mol of atoms
- Total magnetization: 1.98 μB/f.u.



(15)
This record from Alexandria via LeMat-Bulk describes a geometry-optimized CuAs2Pb6Cl7O6 structure. The functional is PBEsol.

Cell: 8.0064 8.0064 8.0064 Å, 75.51 75.51 75.51°
Atoms (fractional coordinates):
Cl (0.1489, 0.6339, 0.4526)
O (0.6461, 0.8539, 0.9541)
O (0.1335, 0.0583, 0.3590)
Cu (0.6284, 0.6284, 0.6284)
Cl (0.3883, 0.5456, 0.8301)
Pb (0.1627, 0.8743, 0.6369)
O (0.8539, 0.9541, 0.6461)
Cl (0.4526, 0.1489, 0.6339)
Pb (0.8292, 0.1296, 0.3561)
Pb (0.8743, 0.6369, 0.1627)
Pb (0.1296, 0.3561, 0.8292)
Cl (0.6339, 0.4526, 0.1489)
O (0.0583, 0.3590, 0.1335)
Cl (0.8301, 0.3883, 0.5456)
Pb (0.3561, 0.8292, 0.1296)
O (0.9541, 0.6461, 0.8539)
Cl (0.0017, 0.0017, 0.0017)
As (0.2403, 0.2403, 0.2403)
Cl (0.5456, 0.8301, 0.3883)
O (0.3590, 0.1335, 0.0583)
Pb (0.6369, 0.1627, 0.8743)
As (0.7644, 0.7644, 0.7644)

- Symmetry: R3, No. 146
- E_form (uncorrected): -26.371 kcal/mol of atoms
- Total magnetization: 0.00 μB/f.u.



(16)
This record from Alexandria via LeMat-Bulk describes a geometry-optimized Cu2As4S3Cl2 structure. The functional is PBEsol.

Cell: 6.1390 6.8782 11.5408 Å, 90.00 102.43 90.00°
Atoms (fractional coordinates):
Cu (0.4368, 0.4704, 0.8075)
Cl (0.3868, 0.2500, 0.9473)
S (0.2532, 0.7500, 0.7851)
As (0.7318, 0.5679, 0.6009)
Cl (0.6132, 0.7500, 0.0527)
Cl (0.2878, 0.2500, 0.6443)
Cu (0.4368, 0.0296, 0.8075)
S (0.7956, 0.0047, 0.7978)
Cu (0.5632, 0.5296, 0.1925)
Cu (0.5632, 0.9704, 0.1925)
S (0.7956, 0.4953, 0.7978)
Cl (0.7123, 0.7500, 0.3557)
As (0.9241, 0.2500, 0.4114)
S (0.7468, 0.2500, 0.2149)
S (0.2044, 0.5047, 0.2022)
As (0.0202, 0.2500, 0.1010)
As (0.2682, 0.0679, 0.3991)
As (0.0759, 0.7500, 0.5886)
As (0.2682, 0.4321, 0.3991)
S (0.2044, 0.9953, 0.2022)
As (0.7318, 0.9321, 0.6009)
As (0.9798, 0.7500, 0.8990)

- Symmetry: P2_1/m, No. 11
- E_form (uncorrected): -5.871 kcal/mol of atoms
- Total magnetization: 0.00 μB/f.u.



(17)
This record from Alexandria via LeMat-Bulk describes a geometry-optimized AsCl2F3 structure. The functional is PBEsol.

Cell: 6.2887 8.6827 8.6827 Å, 90.00 90.00 90.00°
Atoms (fractional coordinates):
F (0.6655, 0.4453, 0.8045)
F (0.6655, 0.5547, 0.1955)
F (0.3853, 0.5000, 0.0000)
Cl (0.8064, 0.9712, 0.1924)
Cl (0.8064, 0.3076, 0.4712)
As (0.0000, 0.0000, 0.0000)
Cl (0.1936, 0.8076, 0.9712)
Cl (0.1936, 0.1924, 0.0288)
F (0.6655, 0.6955, 0.9453)
F (0.9469, 0.5000, 0.0000)
F (0.3345, 0.9453, 0.3045)
F (0.0531, 0.0000, 0.5000)
F (0.6655, 0.3045, 0.0547)
Cl (0.1936, 0.4712, 0.6924)
As (0.6683, 0.5000, 0.0000)
Cl (0.8064, 0.0288, 0.8076)
F (0.3345, 0.1955, 0.4453)
Cl (0.1936, 0.5288, 0.3076)
F (0.3345, 0.0547, 0.6955)
Cl (0.8064, 0.6924, 0.5288)
F (0.3345, 0.8045, 0.5547)
As (0.0000, 0.5000, 0.5000)
F (0.6147, 0.0000, 0.5000)
As (0.3317, 0.0000, 0.5000)

- Symmetry: P4/n, No. 85
- E_form (uncorrected): -34.106 kcal/mol of atoms
- Total magnetization: 0.00 μB/f.u.



(18)
This record from Alexandria via LeMat-Bulk describes a geometry-optimized AsCl2F structure. The functional is PBEsol.

Cell: 4.3893 4.3893 4.3893 Å, 60.00 60.00 60.00°
Atoms (fractional coordinates):
As (0.5000, 0.5000, 0.5000)
Cl (0.7500, 0.7500, 0.7500)
F (0.0000, 0.0000, 0.0000)
Cl (0.2500, 0.2500, 0.2500)

- Symmetry: Fm-3m, No. 225
- E_form (uncorrected): -9.585 kcal/mol of atoms
- Total magnetization: 0.00 μB/f.u.



(19)
This record from Alexandria via LeMat-Bulk describes a geometry-optimized As2Cl2F structure. The functional is PBEsol.

Cell: 5.0745 5.0745 5.0745 Å, 95.29 116.99 116.99°
Atoms (fractional coordinates):
Cl (0.5000, 0.2500, 0.7500)
As (0.0000, 0.3143, 0.3143)
As (0.0000, 0.6857, 0.6857)
F (0.0000, 0.0000, 0.0000)
Cl (0.5000, 0.7500, 0.2500)

- Symmetry: I4/mmm, No. 139
- E_form (uncorrected): -8.534 kcal/mol of atoms
- Total magnetization: 0.00 μB/f.u.



Number 1: VASP energy -0.3685 Ry per atom. Number 2: VASP energy -0.4955 Ry per atom. Number 3: VASP energy -0.4897 Ry per atom. Number 4: VASP energy -0.4284 Ry per atom. Number 5: VASP energy -0.3522 Ry per atom. Number 6: VASP energy -0.3629 Ry per atom. Number 7: VASP energy -0.3575 Ry per atom. Number 8: VASP energy -0.2542 Ry per atom. Number 9: VASP energy -0.2612 Ry per atom. Number 10: VASP energy -0.2593 Ry per atom. Number 11: VASP energy -0.2306 Ry per atom. Number 12: VASP energy -0.2559 Ry per atom. Number 13: VASP energy -0.3961 Ry per atom. Number 14: VASP energy -0.3934 Ry per atom. Number 15: VASP energy -0.3650 Ry per atom. Number 16: VASP energy -0.3278 Ry per atom. Number 17: VASP energy -0.2913 Ry per atom. Number 18: VASP energy -0.2336 Ry per atom. Number 19: VASP energy -0.2647 Ry per atom.